Density functional theory data (GGA-PBEsol) for a relaxed structure of MgTlSi.

Results
Formation energy from raw total energies   119 kJ/mol of formula units
Excess energy over the best structure of this formula in the dataset   209 meV per atom
Fermi-level density of states   1.890 states/eV/f.u.

Cell: 4.681 4.681 4.681 Å, 60.00 60.00 60.00°
Atoms (fractional coordinates):
Mg: 0.000 0.000 0.000
Si: 0.500 0.500 0.500
Tl: 0.250 0.250 0.250



Density functional theory data (GGA-PBEsol) for a relaxed structure of NiIr.

Results
Formation enthalpy at 0 K   0.04 eV/atom
Fermi-level density of states   3.100 states/eV/f.u.

Cell: 2.675 2.675 6.880 Å, 90.00 90.00 90.00°
Atoms (fractional coordinates):
Ni: 0.500 0.000 0.613
Ni: 0.000 0.500 0.387
Ir: 0.500 0.000 0.136
Ir: 0.000 0.500 0.864



Density functional theory data (GGA-PBEsol) for a relaxed structure of K2SeBr6.

Results
Formation energy from raw total energies   -775 kJ/mol of formula units

Cell: 7.312 7.312 7.312 Å, 60.00 60.00 60.00°
Atoms (fractional coordinates):
K: 0.750 0.750 0.750
K: 0.250 0.250 0.250
Se: 0.000 0.000 0.000
Br: 0.248 0.752 0.248
Br: 0.752 0.248 0.752
Br: 0.752 0.248 0.248
Br: 0.248 0.752 0.752
Br: 0.752 0.752 0.248
Br: 0.248 0.248 0.752



Density functional theory data (GGA-PBEsol) for a relaxed structure of Be3CrI.

Results
Formation energy from raw total energies   717 kJ/mol of formula units
Fermi-level density of states   4.183 states/eV/f.u.

Cell: 4.442 4.442 4.442 Å, 90.00 90.00 90.00°
Last column: magnetic moment on the atom in μB.
Atoms (fractional coordinates):
I: 0.500 0.500 0.500  0.11
Cr: 0.000 0.000 0.000  2.69
Be: 0.000 0.500 0.000  0.03
Be: 0.000 0.000 0.500  0.03
Be: 0.500 0.000 0.000  0.03



It is found that the VASP energy values, taken in the order of the records, are -2.955, -7.952, -2.818, -3.316 eV/atom.
It is found that the total magnetic moment values, taken in the order of the records, are 0.00, 0.00, 0.00, 3.38 μB/cell.